[1]
The following is a PBE calculation of a relaxed SrY3Fe crystal, from Alexandria.

Summary:
The calculation puts the density at 4.33 g/cm3. For the formation energy, the calculation gives 1.822 kcal/mol of atoms. The energy above the most stable polymorph in this dataset comes out at 0 meV/atom. The total DFT energy (no corrections) is -5.828 eV per atom.

Lattice parameters (Å, degrees): 5.3969 5.3969 5.3969 90.00 90.00 90.00
Last column: nearest neighbours and their distance in Å.
Fractional positions:
Sr (0.0000, 0.0000, 0.0000)  12 Y 3.82
Y (0.0000, 0.5000, 0.5000)  2 Fe 2.70
Y (0.5000, 0.0000, 0.5000)  2 Fe 2.70
Y (0.5000, 0.5000, 0.0000)  2 Fe 2.70
Fe (0.5000, 0.5000, 0.5000)  6 Y 2.70

=====

[2]
The following is a PBE calculation of a relaxed Y7Pb4C crystal, from Alexandria.

Summary:
The calculation puts the density at 6.60 g/cm3. For the formation energy, the calculation gives -5.885 kcal/mol of atoms. The total DFT energy (no corrections) is -6.031 eV per atom.

Lattice parameters (Å, degrees): 8.5100 8.5100 11.3732 126.18 126.18 34.69
Last column: nearest neighbours and their distance in Å.
Fractional positions:
Y (0.0000, 0.0000, 0.0000)  2 C 2.54
Y (0.1364, 0.1364, 0.5424)  5 Pb 3.12-3.30
Y (0.2757, 0.2757, 0.1360)  4 Pb 3.03-3.23
Y (0.4384, 0.4384, 0.7571)  1 C 2.28
Y (0.5616, 0.5616, 0.2429)  1 C 2.28
Y (0.7243, 0.7243, 0.8640)  4 Pb 3.03-3.23
Y (0.8636, 0.8636, 0.4576)  5 Pb 3.12-3.30
Pb (0.0846, 0.0846, 0.7805)  7 Y 3.13-3.37
Pb (0.2221, 0.2221, 0.3486)  7 Y 3.03-3.32
Pb (0.7779, 0.7779, 0.6514)  7 Y 3.03-3.32
Pb (0.9154, 0.9154, 0.2195)  7 Y 3.13-3.37
C (0.5000, 0.5000, 0.0000)  4 Y 2.28-2.54

=====

[3]
The following is a PBE calculation of a relaxed Nb2Mo4W crystal, from Alexandria.

Summary:
The calculation puts the density at 10.38 g/cm3. For the formation energy, the calculation gives 9.807 kcal/mol of atoms. The energy above the most stable polymorph in this dataset comes out at 0 meV/atom. The total DFT energy (no corrections) is -10.491 eV per atom.

Lattice parameters (Å, degrees): 4.8498 3.0595 8.1489 90.00 94.35 90.00
Last column: nearest neighbours and their distance in Å.
Fractional positions:
Nb (0.1654, 0.0000, 0.3214)  5 Mo 2.61-2.81
Nb (0.8346, 0.0000, 0.6786)  5 Mo 2.61-2.81
Mo (0.2925, 0.5000, 0.6010)  3 Mo 2.60-2.69, 4 Nb 2.77-2.81
Mo (0.4083, 0.0000, 0.8553)  3 Mo 2.46-2.60, 1 Nb 2.61
Mo (0.5917, 0.0000, 0.1447)  3 Mo 2.46-2.60, 1 Nb 2.61
Mo (0.7075, 0.5000, 0.3990)  3 Mo 2.60-2.69, 4 Nb 2.77-2.81
W (0.0000, 0.5000, 0.0000)  4 Mo 2.83, 2 W 3.06, 4 Nb 3.09

=====

[4]
The following is a PBE calculation of a relaxed La5NdYEr2 crystal, from Alexandria.

Summary:
The calculation puts the density at 6.53 g/cm3. For the formation energy, the calculation gives 2.967 kcal/mol of atoms. The total DFT energy (no corrections) is -4.871 eV per atom.

Lattice parameters (Å, degrees): 11.2265 11.2265 10.7002 90.00 90.00 151.58
Last column: nearest neighbours and their distance in Å.
Fractional positions:
La (0.0000, 0.0000, 0.0000)  2 Y 3.45, 4 Er 3.69, 6 La 3.78-3.84
La (0.0000, 0.0000, 0.5000)  2 Y 3.45, 4 Er 3.69, 6 La 3.78-3.84
La (0.1225, 0.8775, 0.7500)  1 Nd 3.54, 6 La 3.78-3.95, 4 Er 3.87
La (0.2210, 0.7790, 0.0595)  2 La 3.29, 1 Y 3.33, 3 Nd 3.43-3.59, 2 Er 3.68
La (0.2210, 0.7790, 0.4405)  2 La 3.29, 1 Y 3.33, 3 Nd 3.43-3.59, 2 Er 3.68
La (0.4993, 0.5007, 0.2500)  2 Y 3.52, 4 Er 3.61-3.64, 6 La 3.82-3.84
La (0.5007, 0.4993, 0.7500)  2 Y 3.52, 4 Er 3.61-3.64, 6 La 3.82-3.84
La (0.7790, 0.2210, 0.5595)  2 La 3.29, 1 Y 3.33, 3 Nd 3.43-3.59, 2 Er 3.68
La (0.7790, 0.2210, 0.9405)  2 La 3.29, 1 Y 3.33, 3 Nd 3.43-3.59, 2 Er 3.68
La (0.8775, 0.1225, 0.2500)  1 Nd 3.54, 6 La 3.78-3.95, 4 Er 3.87
Nd (0.2850, 0.7150, 0.7500)  7 La 3.43-3.59, 2 Er 3.46, 2 Y 3.72
Nd (0.7150, 0.2850, 0.2500)  7 La 3.43-3.59, 2 Er 3.46, 2 Y 3.72
Y (0.1002, 0.8998, 0.2500)  6 La 3.33-3.52, 2 Nd 3.72
Y (0.8998, 0.1002, 0.7500)  6 La 3.33-3.52, 2 Nd 3.72
Er (0.3875, 0.6125, 0.5033)  1 Nd 3.46, 9 La 3.61-3.87, 2 Y 3.83
Er (0.3875, 0.6125, 0.9967)  1 Nd 3.46, 9 La 3.61-3.87, 2 Y 3.83
Er (0.6125, 0.3875, 0.0033)  1 Nd 3.46, 9 La 3.61-3.87, 2 Y 3.83
Er (0.6125, 0.3875, 0.4967)  1 Nd 3.46, 9 La 3.61-3.87, 2 Y 3.83

=====

- Which of these has the highest total DFT energy (no corrections)?
  La5NdYEr2